The following is a PBEsol calculation of a relaxed Sn2Mo15S19 crystal, from the Alexandria database.

Lattice parameters (Å, degrees): 9.1301 9.1301 18.9082 90.00 90.00 120.00
Last column: nearest neighbours and their distance in Å.
Element x y z (fractional)
S: 0.2840 0.3270 0.0498  4 Mo 2.42-2.49
S: 0.9570 0.2840 0.5498  4 Mo 2.42-2.49
S: 0.3746 0.3798 0.8575  4 Mo 2.40-2.49
S: 0.3798 0.0052 0.3575  4 Mo 2.40-2.49
S: 0.6202 0.9948 0.8575  4 Mo 2.40-2.49
S: 0.6730 0.9570 0.0498  4 Mo 2.42-2.49
S: 0.0000 0.0000 0.3420  3 Mo 2.40
S: 0.0430 0.7160 0.4502  4 Mo 2.42-2.49
S: 0.7160 0.6730 0.9502  4 Mo 2.42-2.49
S: 0.0430 0.7160 0.0498  4 Mo 2.42-2.49
S: 0.3270 0.0430 0.5498  4 Mo 2.42-2.49
S: 0.3746 0.3798 0.6425  4 Mo 2.40-2.49
S: 0.3013 0.9580 0.7500  4 Mo 2.44-2.56
S: 0.6202 0.9948 0.6425  4 Mo 2.40-2.49
S: 0.6667 0.3333 0.0369  3 Mo 2.38, 1 Sn 2.60
S: 0.0000 0.0000 0.8420  3 Mo 2.40
S: 0.6567 0.6987 0.7500  4 Mo 2.44-2.56
S: 0.6254 0.6202 0.3575  4 Mo 2.40-2.49
S: 0.0000 0.0000 0.6580  3 Mo 2.40
S: 0.7160 0.6730 0.5498  4 Mo 2.42-2.49
S: 0.9948 0.3746 0.1425  4 Mo 2.40-2.49
S: 0.3433 0.3013 0.2500  4 Mo 2.44-2.56
S: 0.9948 0.3746 0.3575  4 Mo 2.40-2.49
S: 0.2840 0.3270 0.4502  4 Mo 2.42-2.49
S: 0.0052 0.6254 0.6425  4 Mo 2.40-2.49
S: 0.0052 0.6254 0.8575  4 Mo 2.40-2.49
S: 0.3798 0.0052 0.1425  4 Mo 2.40-2.49
S: 0.3333 0.6667 0.5369  3 Mo 2.38, 1 Sn 2.60
S: 0.0000 0.0000 0.1580  3 Mo 2.40
S: 0.9570 0.2840 0.9502  4 Mo 2.42-2.49
S: 0.0420 0.3433 0.7500  4 Mo 2.44-2.56
S: 0.3270 0.0430 0.9502  4 Mo 2.42-2.49
S: 0.6987 0.0420 0.2500  4 Mo 2.44-2.56
S: 0.3333 0.6667 0.9631  3 Mo 2.38, 1 Sn 2.60
S: 0.6667 0.3333 0.4631  3 Mo 2.38, 1 Sn 2.60
S: 0.6254 0.6202 0.1425  4 Mo 2.40-2.49
S: 0.9580 0.6567 0.2500  4 Mo 2.44-2.56
S: 0.6730 0.9570 0.4502  4 Mo 2.42-2.49
Mo: 0.1566 0.1770 0.5604  5 S 2.40-2.47, 2 Mo 2.65
Mo: 0.6854 0.1746 0.1327  5 S 2.38-2.56
Mo: 0.1770 0.0204 0.4396  5 S 2.40-2.47, 2 Mo 2.65
Mo: 0.1555 0.6501 0.7500  4 S 2.40-2.45
Mo: 0.3499 0.5053 0.7500  4 S 2.40-2.45
Mo: 0.8445 0.3499 0.2500  4 S 2.40-2.45
Mo: 0.4892 0.3146 0.3673  5 S 2.38-2.56
Mo: 0.1566 0.1770 0.9396  5 S 2.40-2.47, 2 Mo 2.65
Mo: 0.5108 0.6854 0.6327  5 S 2.38-2.56
Mo: 0.1746 0.4892 0.8673  5 S 2.38-2.56
Mo: 0.3146 0.8254 0.8673  5 S 2.38-2.56
Mo: 0.8254 0.5108 0.1327  5 S 2.38-2.56
Mo: 0.6501 0.4947 0.2500  4 S 2.40-2.45
Mo: 0.8434 0.8230 0.4396  5 S 2.40-2.47, 2 Mo 2.65
Mo: 0.9796 0.1566 0.4396  5 S 2.40-2.47, 2 Mo 2.65
Mo: 0.6854 0.1746 0.3673  5 S 2.38-2.56
Mo: 0.8230 0.9796 0.9396  5 S 2.40-2.47, 2 Mo 2.65
Mo: 0.0204 0.8434 0.5604  5 S 2.40-2.47, 2 Mo 2.65
Mo: 0.5053 0.1555 0.2500  4 S 2.40-2.45
Mo: 0.0204 0.8434 0.9396  5 S 2.40-2.47, 2 Mo 2.65
Mo: 0.1770 0.0204 0.0604  5 S 2.40-2.47, 2 Mo 2.65
Mo: 0.8434 0.8230 0.0604  5 S 2.40-2.47, 2 Mo 2.65
Mo: 0.3146 0.8254 0.6327  5 S 2.38-2.56
Mo: 0.8230 0.9796 0.5604  5 S 2.40-2.47, 2 Mo 2.65
Mo: 0.4947 0.8445 0.7500  4 S 2.40-2.45
Mo: 0.4892 0.3146 0.1327  5 S 2.38-2.56
Mo: 0.1746 0.4892 0.6327  5 S 2.38-2.56
Mo: 0.5108 0.6854 0.8673  5 S 2.38-2.56
Mo: 0.8254 0.5108 0.3673  5 S 2.38-2.56
Mo: 0.9796 0.1566 0.0604  5 S 2.40-2.47, 2 Mo 2.65
Sn: 0.6667 0.3333 0.8995  1 S 2.60
Sn: 0.3333 0.6667 0.3995  1 S 2.60
Sn: 0.3333 0.6667 0.1005  1 S 2.60
Sn: 0.6667 0.3333 0.6005  1 S 2.60

The value obtained for the volume is 19.0 Å³/atom. The calculation puts the total energy at -0.59923 Ry per atom. The value obtained for the theoretical density is 5.56 g/cm3.

***

The following is a PBEsol calculation of a relaxed SrMo6S8 crystal, from the Alexandria database.

Lattice parameters (Å, degrees): 6.4892 6.4892 6.4892 88.66 88.66 88.66
Last column: nearest neighbours and their distance in Å.
Element x y z (fractional)
S: 0.1250 0.7435 0.3865  4 Mo 2.43-2.53
S: 0.2443 0.2443 0.2443  3 Mo 2.37
S: 0.8750 0.2565 0.6135  4 Mo 2.43-2.53
S: 0.3865 0.1250 0.7435  4 Mo 2.43-2.53
S: 0.7435 0.3865 0.1250  4 Mo 2.43-2.53
S: 0.2565 0.6135 0.8750  4 Mo 2.43-2.53
S: 0.7557 0.7557 0.7557  3 Mo 2.37
S: 0.6135 0.8750 0.2565  4 Mo 2.43-2.53
Sr: 0.0000 0.0000 0.0000  8 S 2.81-3.09
Mo: 0.5632 0.2246 0.4160  5 S 2.37-2.53
Mo: 0.5840 0.4368 0.7754  5 S 2.37-2.53
Mo: 0.2246 0.4160 0.5632  5 S 2.37-2.53
Mo: 0.4160 0.5632 0.2246  5 S 2.37-2.53
Mo: 0.7754 0.5840 0.4368  5 S 2.37-2.53
Mo: 0.4368 0.7754 0.5840  5 S 2.37-2.53

The value obtained for the volume is 18.2 Å³/atom. The calculation puts the total energy at -0.59907 Ry per atom. The value obtained for the theoretical density is 5.59 g/cm3.